Computed, not measured: an optimized crystal structure of CdAg2GeTeSe3 at the PBE level of DFT.

Lattice parameters (Å, degrees): 6.092 6.092 7.524 113.86 113.86 89.01
Atoms (fractional coordinates):
Cd: 0.000 0.000 0.000
Ag: 0.259 0.735 0.482
Ag: 0.735 0.259 0.482
Ge: 0.517 0.517 0.000
Te: 0.149 0.149 0.743
Se: 0.399 0.856 0.237
Se: 0.621 0.621 0.762
Se: 0.856 0.399 0.237

## Properties
Space-group type   Cm, No. 8
VASP energy   -0.248 Ry per atom

---

Computed, not measured: an optimized crystal structure of ZrSc at the PBE level of DFT.

Lattice parameters (Å, degrees): 5.126 8.575 8.575 141.73 90.00 90.00
Atoms (fractional coordinates):
Zr: 0.000 0.000 0.000
Zr: 0.000 0.402 0.597
Zr: 0.000 0.597 0.402
Zr: 0.500 0.731 0.926
Zr: 0.500 0.926 0.731
Sc: 0.000 0.190 0.795
Sc: 0.000 0.795 0.190
Sc: 0.500 0.135 0.532
Sc: 0.500 0.324 0.324
Sc: 0.500 0.532 0.135

## Properties
Space-group type   Amm2, No. 38
Formation enthalpy at 0 K   -0.019 eV per atom

---

Computed, not measured: an optimized crystal structure of SmTlAg2S3 at the PBE level of DFT.

Lattice parameters (Å, degrees): 13.981 4.157 11.442 90.00 90.00 90.00
Atoms (fractional coordinates):
Sm: 0.019 0.250 0.164
Sm: 0.481 0.750 0.664
Sm: 0.519 0.250 0.336
Sm: 0.981 0.750 0.836
Tl: 0.231 0.250 0.457
Tl: 0.269 0.750 0.957
Tl: 0.731 0.250 0.043
Tl: 0.769 0.750 0.543
Ag: 0.038 0.750 0.411
Ag: 0.176 0.250 0.730
Ag: 0.324 0.750 0.230
Ag: 0.462 0.250 0.911
Ag: 0.538 0.750 0.089
Ag: 0.676 0.250 0.770
Ag: 0.824 0.750 0.270
Ag: 0.962 0.250 0.589
S: 0.089 0.750 0.629
S: 0.095 0.250 0.933
S: 0.143 0.750 0.230
S: 0.357 0.250 0.730
S: 0.405 0.750 0.433
S: 0.411 0.250 0.129
S: 0.589 0.750 0.871
S: 0.595 0.250 0.567
S: 0.643 0.750 0.270
S: 0.857 0.250 0.770
S: 0.905 0.750 0.067
S: 0.911 0.250 0.371

## Properties
Space-group type   Pnma, No. 62
VASP energy   -0.327 Ry per atom

---

Computed, not measured: an optimized crystal structure of SrBiAu2 at the PBE level of DFT.

Lattice parameters (Å, degrees): 5.210 5.210 5.210 60.00 60.00 60.00
Atoms (fractional coordinates):
Sr: 0.000 0.000 0.000
Bi: 0.750 0.750 0.750
Au: 0.250 0.250 0.250
Au: 0.500 0.500 0.500

## Properties
Space-group type   F-43m, No. 216
VASP energy   -0.250 Ry per atom

---

Computed, not measured: an optimized crystal structure of ThBeB4 at the PBE level of DFT.

Lattice parameters (Å, degrees): 3.133 3.133 7.057 90.00 90.00 120.00
Atoms (fractional coordinates):
Th: 0.000 0.000 0.000
Be: 0.000 0.000 0.500
B: 0.333 0.667 0.306
B: 0.333 0.667 0.694
B: 0.667 0.333 0.306
B: 0.667 0.333 0.694

## Properties
Distance to the lowest polymorph of the same formula   0.00 eV/f.u.
Space-group type   P6/mmm, No. 191

---

Computed, not measured: an optimized crystal structure of CuAg4 at the PBE level of DFT.

Lattice parameters (Å, degrees): 4.991 5.005 7.546 108.12 103.38 99.86
Atoms (fractional coordinates):
Cu: 0.144 0.301 0.049
Cu: 0.856 0.699 0.951
Ag: 0.039 0.101 0.338
Ag: 0.258 0.494 0.759
Ag: 0.346 0.697 0.446
Ag: 0.429 0.899 0.143
Ag: 0.571 0.101 0.857
Ag: 0.654 0.303 0.554
Ag: 0.742 0.506 0.241
Ag: 0.961 0.899 0.662

## Properties
Distance to the lowest polymorph of the same formula   0.16 eV/f.u.
Space-group type   P-1, No. 2
Formation enthalpy at 0 K   0.056 eV per atom

---

Computed, not measured: an optimized crystal structure of Ac5SnIr2 at the PBE level of DFT.

Lattice parameters (Å, degrees): 9.477 9.477 9.477 127.08 127.08 78.12
Atoms (fractional coordinates):
Ac: 0.000 0.000 0.000
Ac: 0.027 0.527 0.820
Ac: 0.207 0.027 0.500
Ac: 0.293 0.793 0.820
Ac: 0.473 0.293 0.500
Ac: 0.500 0.500 0.000
Ac: 0.527 0.707 0.500
Ac: 0.707 0.207 0.180
Ac: 0.793 0.973 0.500
Ac: 0.973 0.473 0.180
Sn: 0.250 0.250 0.000
Sn: 0.750 0.750 0.000
Ir: 0.142 0.358 0.500
Ir: 0.358 0.858 0.217
Ir: 0.642 0.142 0.783
Ir: 0.858 0.642 0.500

## Properties
Space-group type   I4/mcm, No. 140
VASP energy   -0.433 Ry per atom

---

Computed, not measured: an optimized crystal structure of CdGeSeO at the PBE level of DFT.

Lattice parameters (Å, degrees): 5.862 7.505 7.622 90.00 90.00 90.00
Atoms (fractional coordinates):
Cd: 0.021 0.079 0.080
Cd: 0.479 0.921 0.580
Cd: 0.521 0.421 0.920
Cd: 0.979 0.579 0.420
Ge: 0.061 0.663 0.883
Ge: 0.439 0.337 0.383
Ge: 0.561 0.837 0.117
Ge: 0.939 0.163 0.617
Se: 0.092 0.917 0.399
Se: 0.408 0.083 0.899
Se: 0.592 0.583 0.601
Se: 0.908 0.417 0.101
O: 0.145 0.326 0.512
O: 0.355 0.674 0.012
O: 0.645 0.174 0.488
O: 0.855 0.826 0.988

## Properties
Distance to the lowest polymorph of the same formula   0.04 eV/f.u.
Space-group type   P2_12_12_1, No. 19

---

Computed, not measured: an optimized crystal structure of HoAgPbO3 at the PBE level of DFT.

Lattice parameters (Å, degrees): 8.500 8.500 7.536 90.00 90.00 158.13
Atoms (fractional coordinates):
Ho: 0.000 0.000 0.000
Ho: 0.000 0.000 0.500
Ag: 0.400 0.600 0.750
Ag: 0.600 0.400 0.250
Pb: 0.318 0.682 0.250
Pb: 0.682 0.318 0.750
O: 0.124 0.876 0.571
O: 0.124 0.876 0.929
O: 0.270 0.730 0.750
O: 0.730 0.270 0.250
O: 0.876 0.124 0.071
O: 0.876 0.124 0.429

## Properties
Space-group type   Cmcm, No. 63
VASP energy   -0.385 Ry per atom

---

Computed, not measured: an optimized crystal structure of NaLaCdS3 at the PBE level of DFT.

Lattice parameters (Å, degrees): 8.165 4.220 16.754 90.00 90.00 90.00
Atoms (fractional coordinates):
Na: 0.065 0.250 0.226
Na: 0.435 0.750 0.726
Na: 0.565 0.250 0.274
Na: 0.935 0.750 0.774
La: 0.233 0.250 0.955
La: 0.267 0.750 0.455
La: 0.733 0.250 0.545
La: 0.767 0.750 0.045
Cd: 0.121 0.250 0.646
Cd: 0.379 0.750 0.146
Cd: 0.621 0.250 0.854
Cd: 0.879 0.750 0.354
S: 0.014 0.250 0.416
S: 0.121 0.750 0.058
S: 0.203 0.250 0.787
S: 0.297 0.750 0.287
S: 0.379 0.250 0.558
S: 0.486 0.750 0.916
S: 0.514 0.250 0.084
S: 0.621 0.750 0.442
S: 0.703 0.250 0.713
S: 0.797 0.750 0.213
S: 0.879 0.250 0.942
S: 0.986 0.750 0.584

## Properties
Distance to the lowest polymorph of the same formula   0.18 eV/f.u.
Space-group type   Pnma, No. 62

---

Computed, not measured: an optimized crystal structure of TaCuNiB at the PBE level of DFT.

Lattice parameters (Å, degrees): 4.042 4.042 4.042 60.00 60.00 60.00
Atoms (fractional coordinates):
Ta: 0.000 0.000 0.000
Cu: 0.500 0.500 0.500
Ni: 0.750 0.750 0.750
B: 0.250 0.250 0.250

## Properties
Distance to the lowest polymorph of the same formula   0.00 eV/f.u.
Space-group type   F-43m, No. 216

---

Computed, not measured: an optimized crystal structure of NbCuSiAu at the PBE level of DFT.

Lattice parameters (Å, degrees): 4.465 4.465 4.465 60.00 60.00 60.00
Atoms (fractional coordinates):
Nb: 0.000 0.000 0.000
Cu: 0.500 0.500 0.500
Si: 0.250 0.250 0.250
Au: 0.750 0.750 0.750

## Properties
Distance to the lowest polymorph of the same formula   0.00 eV/f.u.
Space-group type   F-43m, No. 216

---

Number 3 is which compound? SmTlAg2S3

---

Which formula does entry 6 have? CuAg4